A plane-wave DFT calculation with meta-GGA SCAN was carried out for Rb2NaSbCl6 at its PBEsol-relaxed geometry.

Lattice parameters (Å, degrees): 10.6301 10.6301 10.6301 90.00 90.00 90.00
Last column: nearest neighbours and their distance in Å.
Space group Fm-3m (No. 225)
Asymmetric unit:
Rb  0.2500  0.2500  0.2500 (multiplicity 8)  12 Cl 3.76
Na  0.0000  0.0000  0.0000 (multiplicity 4)  6 Cl 2.69
Sb  0.0000  0.0000  0.5000 (multiplicity 4)  6 Cl 2.62
Cl  0.0000  0.0000  0.2534 (multiplicity 24)  1 Sb 2.62, 1 Na 2.69

Summary:
DFT total energy	-1.0840	Ry per atom
theoretical density	2922	kg/m³
V	30.03	Å³ per atom

---

A plane-wave DFT calculation with meta-GGA SCAN was carried out for Rb2NaSmCl6 at its PBEsol-relaxed geometry.

Lattice parameters (Å, degrees): 10.6873 10.6873 10.6873 90.00 90.00 90.00
Last column: nearest neighbours and their distance in Å.
Space group Fm-3m (No. 225)
Asymmetric unit:
Rb  0.2500  0.2500  0.2500 (multiplicity 8)  12 Cl 3.78
Na  0.0000  0.0000  0.0000 (multiplicity 4)  6 Cl 2.69
Sm  0.0000  0.0000  0.5000 (multiplicity 4)  6 Cl 2.65
Cl  0.0000  0.0000  0.2517 (multiplicity 24)  1 Sm 2.65, 1 Na 2.69

Summary:
DFT total energy	-1.1854	Ry per atom
theoretical density	3031	kg/m³
V	30.52	Å³ per atom

---

Question: What is the V in the second record?
Answer: 30.52 Å³ per atom

---

Please write out number 1 again, unchanged.
A plane-wave DFT calculation with meta-GGA SCAN was carried out for Rb2NaSbCl6 at its PBEsol-relaxed geometry.

Lattice parameters (Å, degrees): 10.6301 10.6301 10.6301 90.00 90.00 90.00
Last column: nearest neighbours and their distance in Å.
Space group Fm-3m (No. 225)
Asymmetric unit:
Rb  0.2500  0.2500  0.2500 (multiplicity 8)  12 Cl 3.76
Na  0.0000  0.0000  0.0000 (multiplicity 4)  6 Cl 2.69
Sb  0.0000  0.0000  0.5000 (multiplicity 4)  6 Cl 2.62
Cl  0.0000  0.0000  0.2534 (multiplicity 24)  1 Sb 2.62, 1 Na 2.69

Summary:
DFT total energy	-1.0840	Ry per atom
theoretical density	2922	kg/m³
V	30.03	Å³ per atom